# Li4Fe3Ni2O10 PBE+U relaxed
data_Li4Fe3Ni2O10
_cell_length_a 5.100
_cell_length_b 5.124
_cell_length_c 7.759
_cell_angle_alpha 71.01
_cell_angle_beta 71.05
_cell_angle_gamma 79.64
_symmetry_space_group_name_H-M 'P 1'
_symmetry_Int_Tables_number 1
loop_
_symmetry_equiv_pos_as_xyz
'x,y,z'
loop_
_atom_site_label
_atom_site_fract_x
_atom_site_fract_y
_atom_site_fract_z
Li1 0.000 0.000 0.000
Li2 0.122 0.500 0.274
Li3 0.293 0.472 0.916
Li4 0.723 0.500 0.081
Fe1 0.177 0.993 0.621
Fe2 0.496 0.488 0.514
Fe3 0.804 0.989 0.394
Ni1 0.396 0.981 0.198
Ni2 0.596 0.974 0.813
O1 0.049 0.220 0.168
O2 0.175 0.766 0.437
O3 0.284 0.220 0.752
O4 0.375 0.750 0.037
O5 0.445 0.237 0.369
O6 0.533 0.755 0.652
O7 0.615 0.185 0.969
O8 0.732 0.733 0.275
O9 0.819 0.203 0.573
O10 0.930 0.771 0.848
# V ... 180.7 Å³/f.u.
# DFT total energy ... -0.4089 Ry per atom